{"formula": "BAsHSe2", "functional": "GGA-PBE", "state": "optimized geometry", "lattice_angstrom": [[4.746, 0.000, 0.000], [0.000, 4.746, 0.000], [0.000, 0.000, 3.488]], "species": ["As", "B", "H", "Se", "Se"], "fractional_positions": [[0.000, 0.000, 0.500], [0.500, 0.500, 0.500], [0.000, 0.000, 0.000], [0.000, 0.500, 0.000], [0.500, 0.000, 0.000]], "sg": "P4/mmm, No. 123", "total_magnetization_mub_per_atom": 0.000, "polymorph_energy_mev_per_atom": 135}